# PBE Ac2LaRh, optimized geometry
# Formation energy from the elements   -0.31 eV/atom
# Energy relative to the lowest polymorph listed for this composition   0.113 eV/atom
# DFT total energy   -0.3997 Ry per atom
# DOS at the Fermi energy   1.47 states/eV per atom
# Size of the total moment   0.0 μB/cell
data_Ac2LaRh
_chemical_formula_sum 'Ac6 La3 Rh3'
_cell_length_a 4.1738
_cell_length_b 4.1738
_cell_length_c 29.5507
_cell_angle_alpha 90.00
_cell_angle_beta 90.00
_cell_angle_gamma 120.00
_symmetry_space_group_name_H-M 'R 3 m'
_symmetry_Int_Tables_number 160
_symmetry_space_group_name_Hall 'R 3 -2"'
loop_
_atom_site_label
_atom_site_type_symbol
_atom_site_fract_x
_atom_site_fract_y
_atom_site_fract_z
Ac1 Ac 0.0000 0.0000 0.0000
Ac2 Ac 0.0000 0.0000 0.2173
La1 La 0.0000 0.0000 0.4423
Rh1 Rh 0.0000 0.0000 0.6078



# PBE Ac3La2Rh4, optimized geometry
# Formation energy from the elements   -0.61 eV/atom
# DFT total energy   -0.4662 Ry per atom
# DOS at the Fermi energy   0.56 states/eV per atom
# Size of the total moment   0.0 μB/cell
data_Ac3La2Rh4
_chemical_formula_sum 'Ac6 La4 Rh8'
_cell_length_a 7.373
_cell_length_b 4.256
_cell_length_c 17.007
_cell_angle_alpha 90.00
_cell_angle_beta 90.03
_cell_angle_gamma 90.00
_symmetry_space_group_name_H-M 'C 1 2/m 1'
_symmetry_Int_Tables_number 12
_symmetry_space_group_name_Hall '-C 2y'
loop_
_atom_site_label
_atom_site_type_symbol
_atom_site_fract_x
_atom_site_fract_y
_atom_site_fract_z
Ac1 Ac 0.000 0.000 0.000
Ac2 Ac 0.166 0.500 0.608
La1 La 0.167 0.500 0.197
Rh1 Rh 0.000 0.000 0.301
Rh2 Rh 0.166 0.500 0.894



# PBE Ac12LaRh7, optimized geometry
# Formation energy from the elements   -0.56 eV/atom
# DFT total energy   -0.4296 Ry per atom
# DOS at the Fermi energy   0.82 states/eV per atom
# Size of the total moment   0.0 μB/cell
data_Ac12LaRh7
_chemical_formula_sum 'Ac36 La3 Rh21'
_cell_length_a 15.3543
_cell_length_b 15.3543
_cell_length_c 10.5158
_cell_angle_alpha 90.00
_cell_angle_beta 90.00
_cell_angle_gamma 120.00
_symmetry_space_group_name_H-M 'R -3'
_symmetry_Int_Tables_number 148
_symmetry_space_group_name_Hall '-R 3'
loop_
_atom_site_label
_atom_site_type_symbol
_atom_site_fract_x
_atom_site_fract_y
_atom_site_fract_z
Ac1 Ac 0.0268 0.5862 0.1620
Ac2 Ac 0.0470 0.1713 0.8280
La1 La 0.0000 0.0000 0.5000
Rh1 Rh 0.0000 0.0000 0.0000
Rh2 Rh 0.0470 0.1847 0.3330



# PBE AcLaRh, optimized geometry
# Formation energy from the elements   -0.56 eV/atom
# Energy relative to the lowest polymorph listed for this composition   0.000 eV/atom
# DFT total energy   -0.4429 Ry per atom
# DOS at the Fermi energy   1.03 states/eV per atom
# Size of the total moment   0.0 μB/cell
data_AcLaRh
_chemical_formula_sum 'Ac2 La2 Rh2'
_cell_length_a 6.922
_cell_length_b 4.313
_cell_length_c 7.442
_cell_angle_alpha 90.00
_cell_angle_beta 110.19
_cell_angle_gamma 90.00
_symmetry_space_group_name_H-M 'P 1 2/m 1'
_symmetry_Int_Tables_number 10
_symmetry_space_group_name_Hall '-P 2y'
loop_
_atom_site_label
_atom_site_type_symbol
_atom_site_fract_x
_atom_site_fract_y
_atom_site_fract_z
Ac1 Ac 0.245 0.000 0.255
La1 La 0.278 0.500 0.758
Rh1 Rh 0.500 0.000 0.000
Rh2 Rh 0.500 0.500 0.500



# PBE AcLaRh2, optimized geometry
# Formation energy from the elements   -0.71 eV/atom
# Energy relative to the lowest polymorph listed for this composition   0.000 eV/atom
# DFT total energy   -0.4881 Ry per atom
# DOS at the Fermi energy   0.62 states/eV per atom
# Size of the total moment   0.0 μB/cell
data_AcLaRh2
_chemical_formula_sum 'Ac2 La2 Rh4'
_cell_length_a 4.275
_cell_length_b 4.047
_cell_length_c 11.561
_cell_angle_alpha 90.00
_cell_angle_beta 90.00
_cell_angle_gamma 90.00
_symmetry_space_group_name_H-M 'A m m 2'
_symmetry_Int_Tables_number 38
_symmetry_space_group_name_Hall 'A 2 -2'
loop_
_atom_site_label
_atom_site_type_symbol
_atom_site_fract_x
_atom_site_fract_y
_atom_site_fract_z
Ac1 Ac 0.000 0.000 0.000
La1 La 0.500 0.000 0.725
Rh1 Rh 0.000 0.000 0.271
Rh2 Rh 0.500 0.000 0.446



# PBE AcLaRh2, optimized geometry
# Formation energy from the elements   -0.59 eV/atom
# Energy relative to the lowest polymorph listed for this composition   0.119 eV/atom
# DFT total energy   -0.4793 Ry per atom
# DOS at the Fermi energy   1.10 states/eV per atom
# Size of the total moment   0.0 μB/cell
data_AcLaRh2
_chemical_formula_sum 'Ac4 La4 Rh8'
_cell_length_a 7.308
_cell_length_b 7.308
_cell_length_c 7.308
_cell_angle_alpha 90.00
_cell_angle_beta 90.00
_cell_angle_gamma 90.00
_symmetry_space_group_name_H-M 'F m -3 m'
_symmetry_Int_Tables_number 225
_symmetry_space_group_name_Hall '-F 4 2 3'
loop_
_atom_site_label
_atom_site_type_symbol
_atom_site_fract_x
_atom_site_fract_y
_atom_site_fract_z
Ac1 Ac 0.000 0.000 0.000
La1 La 0.000 0.000 0.500
Rh1 Rh 0.250 0.250 0.250



# PBE AcLaRh2, optimized geometry
# Formation energy from the elements   -0.52 eV/atom
# Energy relative to the lowest polymorph listed for this composition   0.189 eV/atom
# DFT total energy   -0.4742 Ry per atom
# DOS at the Fermi energy   0.17 states/eV per atom
# Size of the total moment   0.0 μB/cell
data_AcLaRh2
_chemical_formula_sum 'Ac3 La3 Rh6'
_cell_length_a 4.1284
_cell_length_b 4.1284
_cell_length_c 21.7085
_cell_angle_alpha 90.00
_cell_angle_beta 90.00
_cell_angle_gamma 120.00
_symmetry_space_group_name_H-M 'R 3 m'
_symmetry_Int_Tables_number 160
_symmetry_space_group_name_Hall 'R 3 -2"'
loop_
_atom_site_label
_atom_site_type_symbol
_atom_site_fract_x
_atom_site_fract_y
_atom_site_fract_z
Ac1 Ac 0.0000 0.0000 0.0000
La1 La 0.0000 0.0000 0.1713
Rh1 Rh 0.0000 0.0000 0.5838
Rh2 Rh 0.0000 0.0000 0.7537



# PBE Ac3LaRh, optimized geometry
# Formation energy from the elements   -0.24 eV/atom
# Energy relative to the lowest polymorph listed for this composition   0.000 eV/atom
# DFT total energy   -0.3793 Ry per atom
# DOS at the Fermi energy   1.24 states/eV per atom
# Size of the total moment   0.0 μB/cell
data_Ac3LaRh
_chemical_formula_sum 'Ac12 La4 Rh4'
_cell_length_a 11.101
_cell_length_b 6.636
_cell_length_c 11.577
_cell_angle_alpha 90.00
_cell_angle_beta 118.64
_cell_angle_gamma 90.00
_symmetry_space_group_name_H-M 'P 1 21/c 1'
_symmetry_Int_Tables_number 14
_symmetry_space_group_name_Hall '-P 2ybc'
loop_
_atom_site_label
_atom_site_type_symbol
_atom_site_fract_x
_atom_site_fract_y
_atom_site_fract_z
Ac1 Ac 0.024 0.111 0.153
Ac2 Ac 0.202 0.025 0.521
Ac3 Ac 0.394 0.560 0.771
La1 La 0.327 0.036 0.902
Rh1 Rh 0.119 0.666 0.194